## MgAsOs2 (PBE-GGA)

Data for crystalline MgAsOs2 at its relaxed geometry.

The space group is F-43m (No. 216) and the conventional cell measures 6.282, 6.282 and 6.282 Å, with angles of 90.00, 90.00 and 90.00 degrees. Symmetry generates all atoms from Mg at (0.000, 0.000, 0.000), As at (0.250, 0.250, 0.250), Os at (0.000, 0.000, 0.500) and Os at (0.250, 0.250, 0.750).

Its formation energy is 0.464 eV/atom. As for the energy above the most stable polymorph in this dataset: 0.3299 eV per atom. The calculation puts the density of states at the Fermi level at 0.52 states/eV per atom. The energy comes out at -107.39 eV per cell.